A geometry-optimized Hf3IrC structure. Source: Alexandria via LeMat-Bulk, functional PBE.

Lattice parameters (Å, degrees): 4.4138 4.4138 4.4138 90.00 90.00 90.00
Space group Pm-3m (No. 221)
Symmetry-distinct sites (fractional):
Hf  0.0000  0.0000  0.5000 [3 per cell]
Ir  0.5000  0.5000  0.5000 [1 per cell]
C  0.0000  0.0000  0.0000 [1 per cell]

Output
The calculation puts the formation energy at -0.58 eV per atom. For the calculated density, the calculation gives 14.3 Mg/m³. The offset from the most stable computed form is 0.2329 eV per atom.